Entry 1:
{
  "formula": "Mg2CrTc",
  "functional": "PBE-GGA",
  "state": "relaxed",
  "sg": "I-42d (122)",
  "ef_ev_per_atom": 0.81,
  "lattice_angstrom": [[-3.653, 3.653, 2.669], [3.653, -3.653, 2.669], [3.653, 3.653, -2.669]],
  "species": ["Mg", "Mg", "Mg", "Mg", "Cr", "Cr", "Tc", "Tc"],
  "frac_coords": [[0.124, 0.625, 0.998], [0.375, 0.374, 0.498], [0.626, 0.125, 0.002], [0.875, 0.876, 0.501], [0.250, 0.750, 0.500], [0.500, 0.500, 0.000], [0.000, 0.000, 0.000], [0.750, 0.250, 0.500]]
}

Entry 2:
{
  "formula": "MgCr3Tc",
  "functional": "PBE-GGA",
  "state": "relaxed",
  "sg": "Pm-3m (221)",
  "ef_ev_per_atom": 1.12,
  "lattice_angstrom": [[4.660, 0.000, 0.000], [0.000, 4.660, 0.000], [0.000, 0.000, 4.660]],
  "species": ["Mg", "Cr", "Cr", "Cr", "Tc"],
  "frac_coords": [[0.000, 0.000, 0.000], [0.000, 0.500, 0.500], [0.500, 0.000, 0.500], [0.500, 0.500, 0.000], [0.500, 0.500, 0.500]]
}

Entry 3:
{
  "formula": "MgCr4Tc",
  "functional": "PBE-GGA",
  "state": "relaxed",
  "sg": "F-43m (216)",
  "ef_ev_per_atom": 0.13,
  "lattice_angstrom": [[0.000, 3.399, 3.399], [3.399, 0.000, 3.399], [3.399, 3.399, 0.000]],
  "species": ["Mg", "Cr", "Cr", "Cr", "Cr", "Tc"],
  "frac_coords": [[0.000, 0.000, 0.000], [0.375, 0.375, 0.375], [0.375, 0.375, 0.875], [0.375, 0.875, 0.375], [0.875, 0.375, 0.375], [0.750, 0.750, 0.750]]
}

Entry 4:
{
  "formula": "MgCrTc3",
  "functional": "PBE-GGA",
  "state": "relaxed",
  "sg": "Pm-3m (221)",
  "ef_ev_per_atom": 1.00,
  "lattice_angstrom": [[4.471, 0.000, 0.000], [0.000, 4.471, 0.000], [0.000, 0.000, 4.471]],
  "species": ["Mg", "Cr", "Tc", "Tc", "Tc"],
  "frac_coords": [[0.000, 0.000, 0.000], [0.500, 0.500, 0.500], [0.000, 0.500, 0.500], [0.500, 0.000, 0.500], [0.500, 0.500, 0.000]]
}

Entry 5:
{
  "formula": "Mg2CrTc",
  "functional": "PBE-GGA",
  "state": "relaxed",
  "sg": "Imm2 (44)",
  "ef_ev_per_atom": 0.25,
  "lattice_angstrom": [[-1.580, 2.356, 4.453], [1.580, -2.356, 4.453], [1.580, 2.356, -4.453]],
  "species": ["Mg", "Mg", "Cr", "Tc"],
  "frac_coords": [[0.000, 0.000, 0.000], [0.723, 0.223, 0.500], [0.268, 0.768, 0.500], [0.453, 0.453, 0.000]]
}

Entry 6:
{
  "formula": "MgCrTc2",
  "functional": "PBE-GGA",
  "state": "relaxed",
  "sg": "I-42d (122)",
  "ef_ev_per_atom": 0.57,
  "lattice_angstrom": [[-3.496, 3.496, 2.640], [3.496, -3.496, 2.640], [3.496, 3.496, -2.640]],
  "species": ["Mg", "Mg", "Cr", "Cr", "Tc", "Tc", "Tc", "Tc"],
  "frac_coords": [[0.000, 0.000, 0.000], [0.750, 0.250, 0.500], [0.250, 0.750, 0.500], [0.500, 0.500, 0.000], [0.183, 0.625, 0.058], [0.375, 0.433, 0.558], [0.567, 0.125, 0.942], [0.875, 0.817, 0.442]]
}

Entry 7:
{
  "formula": "MgCrTc2",
  "functional": "PBE-GGA",
  "state": "relaxed",
  "sg": "Cmm2 (35)",
  "ef_ev_per_atom": 0.30,
  "lattice_angstrom": [[1.519, -2.210, 0.000], [1.519, 2.210, 0.000], [0.000, 0.000, 8.835]],
  "species": ["Mg", "Cr", "Tc", "Tc"],
  "frac_coords": [[0.000, 0.000, 0.000], [0.500, 0.500, 0.264], [0.000, 0.000, 0.482], [0.500, 0.500, 0.732]]
}

Entry 8:
{
  "formula": "MgCrTc2",
  "functional": "PBE-GGA",
  "state": "relaxed",
  "sg": "F-43m (216)",
  "ef_ev_per_atom": 0.24,
  "lattice_angstrom": [[0.000, 3.087, 3.087], [3.087, 0.000, 3.087], [3.087, 3.087, 0.000]],
  "species": ["Mg", "Cr", "Tc", "Tc"],
  "frac_coords": [[0.000, 0.000, 0.000], [0.750, 0.750, 0.750], [0.250, 0.250, 0.250], [0.500, 0.500, 0.500]]
}

Entry 9:
{
  "formula": "Mg2CrTc",
  "functional": "PBE-GGA",
  "state": "relaxed",
  "sg": "Fm-3m (225)",
  "ef_ev_per_atom": 0.80,
  "lattice_angstrom": [[0.000, 3.159, 3.159], [3.159, 0.000, 3.159], [3.159, 3.159, 0.000]],
  "species": ["Mg", "Mg", "Cr", "Tc"],
  "frac_coords": [[0.250, 0.250, 0.250], [0.750, 0.750, 0.750], [0.000, 0.000, 0.000], [0.500, 0.500, 0.500]]
}

Entry 10:
{
  "formula": "MgCr3Tc",
  "functional": "PBE-GGA",
  "state": "relaxed",
  "sg": "Pm-3m (221)",
  "ef_ev_per_atom": 2.07,
  "lattice_angstrom": [[4.534, 0.000, 0.000], [0.000, 4.534, 0.000], [0.000, 0.000, 4.534]],
  "species": ["Mg", "Cr", "Cr", "Cr", "Tc"],
  "frac_coords": [[0.000, 0.000, 0.000], [0.000, 0.000, 0.500], [0.000, 0.500, 0.000], [0.500, 0.000, 0.000], [0.500, 0.500, 0.500]]
}

Entry 11:
{
  "formula": "Mg2CrTc",
  "functional": "PBE-GGA",
  "state": "relaxed",
  "sg": "P4/mmm (123)",
  "ef_ev_per_atom": 0.38,
  "lattice_angstrom": [[3.774, 0.000, 0.000], [0.000, 3.774, 0.000], [0.000, 0.000, 4.487]],
  "species": ["Mg", "Mg", "Cr", "Tc"],
  "frac_coords": [[0.000, 0.500, 0.000], [0.500, 0.000, 0.000], [0.000, 0.000, 0.500], [0.500, 0.500, 0.500]]
}

Entry 12:
{
  "formula": "MgCrTc2",
  "functional": "PBE-GGA",
  "state": "relaxed",
  "sg": "Cmmm (65)",
  "ef_ev_per_atom": 0.39,
  "lattice_angstrom": [[2.625, -4.299, 0.000], [2.625, 4.299, 0.000], [0.000, 0.000, 2.612]],
  "species": ["Mg", "Cr", "Tc", "Tc"],
  "frac_coords": [[0.000, 0.000, 0.000], [0.500, 0.500, 0.000], [0.000, 0.500, 0.500], [0.500, 0.000, 0.500]]
}

| no. | density (g/cm3) | DFT total energy (Ha/atom) | total magnetization (μB/f.u.) |
| --- | --- | --- | --- |
| 1 | 4.6 | -0.183 | 3.0 |
| 2 | 4.6 | -0.259 | 8.2 |
| 3 | 7.0 | -0.304 | 0.0 |
| 4 | 6.9 | -0.274 | 1.6 |
| 5 | 5.0 | -0.204 | 0.6 |
| 6 | 7.0 | -0.272 | 0.0 |
| 7 | 7.6 | -0.283 | 0.0 |
| 8 | 7.7 | -0.285 | 2.3 |
| 9 | 5.2 | -0.184 | 0.0 |
| 10 | 5.0 | -0.224 | 7.0 |
| 11 | 5.2 | -0.199 | 1.6 |
| 12 | 7.7 | -0.279 | 1.8 |